! Nd5DyHo6, optimized geometry, DFT PBE; values from VASP
&SYSTEM
  ibrav = 0, nat = 12, ntyp = 3
/
ATOMIC_SPECIES
Nd 144.24 Nd.upf
Dy 162.50 Dy.upf
Ho 164.93 Ho.upf
ATOMIC_POSITIONS crystal
Nd 0.0000 0.0000 0.0000
Nd 0.1667 0.6667 0.5000
Nd 0.3347 0.3347 0.0000
Nd 0.6653 0.6653 0.0000
Nd 0.8333 0.3333 0.5000
Dy 0.5000 0.0000 0.5000
Ho 0.0846 0.8337 0.2509
Ho 0.2515 0.5000 0.7515
Ho 0.4171 0.1663 0.2509
Ho 0.5829 0.8337 0.7491
Ho 0.7485 0.5000 0.2485
Ho 0.9154 0.1663 0.7491
CELL_PARAMETERS angstrom
-2.5474 5.0452 7.6361
2.5474 -5.0452 7.6361
2.5474 5.0452 -7.6361
! Symmetry: No. 71
! Spin magnetization: 0.0 μB/cell
! Formation energy: 0.018 eV/atom
! Fermi-level density of states: 16.01 states/eV per cell
! ΔE to the lowest computed polymorph: 0.05 eV per formula unit